Entry 1:
Computed, not measured: crystalline Ba2CaAl12Pt3 at its relaxed geometry at the GGA-PBE level of DFT.

Unit cell a=9.204 b=9.204 c=9.204 alpha=55.89 beta=55.89 gamma=55.89
Positions (direct):
Ba1 0.104 0.104 0.104
Ba2 0.896 0.896 0.896
Ca1 0.500 0.500 0.500
Al1 0.006 0.342 0.342
Al2 0.166 0.166 0.626
Al3 0.166 0.626 0.166
Al4 0.342 0.006 0.342
Al5 0.342 0.342 0.006
Al6 0.374 0.834 0.834
Al7 0.626 0.166 0.166
Al8 0.658 0.658 0.994
Al9 0.658 0.994 0.658
Al10 0.834 0.374 0.834
Al11 0.834 0.834 0.374
Al12 0.994 0.658 0.658
Pt1 0.000 0.500 0.500
Pt2 0.500 0.000 0.500
Pt3 0.500 0.500 0.000

## Properties
Formation energy (eV/atom): -0.125
Total energy (Ha/atom): -0.1452
ρ (Mg/m³): 4.1



Entry 2:
Computed, not measured: crystalline BaCaAlPt at its relaxed geometry at the GGA-PBE level of DFT.

Unit cell a=8.423 b=8.423 c=8.423 alpha=30.29 beta=30.29 gamma=30.29
Positions (direct):
Ba1 0.000 0.000 0.000
Ca1 0.827 0.827 0.827
Al1 0.237 0.237 0.237
Pt1 0.569 0.569 0.569

## Properties
Formation energy (eV/atom): -0.638
Total energy (Ha/atom): -0.1494
ρ (Mg/m³): 4.9



Entry 3:
Computed, not measured: crystalline BaCaAl2Rh at its relaxed geometry at the GGA-PBE level of DFT.

Unit cell a=4.940 b=4.940 c=5.355 alpha=90.00 beta=90.00 gamma=90.00
Positions (direct):
Ba1 0.000 0.000 0.000
Ca1 0.500 0.500 0.000
Al1 0.000 0.500 0.500
Al2 0.500 0.000 0.500
Rh1 0.500 0.500 0.500

## Properties
Formation energy (eV/atom): -0.396
Total energy (Ha/atom): -0.1524
ρ (Mg/m³): 4.2



Entry 4:
Computed, not measured: crystalline Ba2CaAl2Sb4 at its relaxed geometry at the GGA-PBE level of DFT.

Unit cell a=8.736 b=8.736 c=8.106 alpha=108.77 beta=108.77 gamma=30.55
Positions (direct):
Ba1 0.128 0.128 0.062
Ba2 0.872 0.872 0.938
Ca1 0.000 0.000 0.500
Al1 0.331 0.331 0.519
Al2 0.669 0.669 0.481
Sb1 0.208 0.208 0.687
Sb2 0.485 0.485 0.760
Sb3 0.515 0.515 0.240
Sb4 0.792 0.792 0.313

## Properties
E_form (uncorrected) (eV/atom): -0.73
Total energy (Ha/atom): -0.1485
ρ (Mg/m³): 4.8



Entry 5:
Computed, not measured: crystalline Ba2CaAlSi2 at its relaxed geometry at the GGA-PBE level of DFT.

Unit cell a=8.942 b=8.942 c=8.942 alpha=133.39 beta=66.76 gamma=135.04
Positions (direct):
Ba1 0.177 0.215 0.392
Ba2 0.323 0.715 0.039
Ba3 0.677 0.285 0.961
Ba4 0.823 0.785 0.608
Ca1 0.250 0.750 0.500
Ca2 0.750 0.250 0.500
Al1 0.250 0.250 0.000
Al2 0.750 0.750 0.000
Si1 0.091 0.787 0.878
Si2 0.409 0.287 0.696
Si3 0.591 0.713 0.304
Si4 0.909 0.213 0.122

## Properties
E_form (uncorrected) (eV/atom): -0.35
Total energy (Ha/atom): -0.1380
ρ (Mg/m³): 3.7



Entry 6:
Computed, not measured: crystalline Ba2CaAlSn2 at its relaxed geometry at the GGA-PBE level of DFT.

Unit cell a=9.486 b=9.486 c=9.486 alpha=134.57 beta=66.06 gamma=134.75
Positions (direct):
Ba1 0.169 0.227 0.396
Ba2 0.331 0.727 0.058
Ba3 0.669 0.273 0.942
Ba4 0.831 0.773 0.604
Ca1 0.250 0.750 0.500
Ca2 0.750 0.250 0.500
Al1 0.250 0.250 0.000
Al2 0.750 0.750 0.000
Sn1 0.103 0.773 0.876
Sn2 0.397 0.273 0.671
Sn3 0.603 0.727 0.329
Sn4 0.897 0.227 0.124

## Properties
Formation energy (eV/atom): -0.511
Total energy (Ha/atom): -0.1265
ρ (Mg/m³): 4.5



Entry 7:
Computed, not measured: crystalline BaSrCaAl at its relaxed geometry at the GGA-PBE level of DFT.

Unit cell a=6.034 b=6.034 c=6.034 alpha=60.00 beta=60.00 gamma=60.00
Positions (direct):
Ba1 0.000 0.000 0.000
Sr1 0.500 0.500 0.500
Ca1 0.250 0.250 0.250
Al1 0.750 0.750 0.750

## Properties
Formation energy (eV/atom): 0.037
Total energy (Ha/atom): -0.0845
ρ (Mg/m³): 3.1



Entry 8:
Computed, not measured: crystalline BaCaTa2Al at its relaxed geometry at the GGA-PBE level of DFT.

Unit cell a=5.015 b=5.015 c=5.945 alpha=90.00 beta=90.00 gamma=90.00
Positions (direct):
Ba1 0.000 0.000 0.000
Ca1 0.500 0.500 0.000
Ta1 0.000 0.500 0.500
Ta2 0.500 0.000 0.500
Al1 0.000 0.000 0.500

## Properties
Formation energy (eV/atom): 1.209
Total energy (Ha/atom): -0.1861
ρ (Mg/m³): 6.3



Entry 9:
Computed, not measured: crystalline BaCaAlTe2 at its relaxed geometry at the GGA-PBE level of DFT.

Unit cell a=5.867 b=5.867 c=5.316 alpha=90.00 beta=90.00 gamma=90.00
Positions (direct):
Ba1 0.000 0.000 0.000
Ca1 0.500 0.500 0.000
Al1 0.500 0.500 0.500
Te1 0.000 0.500 0.500
Te2 0.500 0.000 0.500

## Properties
E_form (uncorrected) (eV/atom): -0.46
Total energy (Ha/atom): -0.1194
ρ (Mg/m³): 4.2



Entry 10:
Computed, not measured: crystalline BaCaAlTl at its relaxed geometry at the GGA-PBE level of DFT.

Unit cell a=5.708 b=5.708 c=5.708 alpha=60.00 beta=60.00 gamma=60.00
Positions (direct):
Ba1 0.000 0.000 0.000
Ca1 0.500 0.500 0.500
Al1 0.750 0.750 0.750
Tl1 0.250 0.250 0.250

## Properties
Formation energy (eV/atom): -0.229
Total energy (Ha/atom): -0.1006
ρ (Mg/m³): 5.2



Entry 11:
Computed, not measured: crystalline Ba3Ca2Al2Zn4 at its relaxed geometry at the GGA-PBE level of DFT.

Unit cell a=5.089 b=5.089 c=15.389 alpha=90.00 beta=90.00 gamma=120.00
Positions (direct):
Ba1 0.000 0.000 0.000
Ba2 0.000 0.000 0.261
Ba3 0.000 0.000 0.739
Ca1 0.333 0.667 0.566
Ca2 0.667 0.333 0.434
Al1 0.333 0.667 0.156
Al2 0.667 0.333 0.844
Zn1 0.333 0.667 0.351
Zn2 0.333 0.667 0.857
Zn3 0.667 0.333 0.143
Zn4 0.667 0.333 0.649

## Properties
Formation energy (eV/atom): -0.084
Total energy (Ha/atom): -0.0778
ρ (Mg/m³): 3.9



Entry 12:
Computed, not measured: crystalline BaCaAlZn at its relaxed geometry at the GGA-PBE level of DFT.

Unit cell a=5.566 b=5.566 c=5.566 alpha=60.00 beta=60.00 gamma=60.00
Positions (direct):
Ba1 0.000 0.000 0.000
Ca1 0.500 0.500 0.500
Al1 0.750 0.750 0.750
Zn1 0.250 0.250 0.250

## Properties
Formation energy (eV/atom): -0.122
Total energy (Ha/atom): -0.0866
ρ (Mg/m³): 3.7



Entry 13:
Computed, not measured: crystalline BaCa2AlZn at its relaxed geometry at the GGA-PBE level of DFT.

Unit cell a=5.798 b=5.798 c=5.059 alpha=90.00 beta=90.00 gamma=90.00
Positions (direct):
Ba1 0.000 0.000 0.000
Ca1 0.000 0.500 0.500
Ca2 0.500 0.000 0.500
Al1 0.500 0.500 0.000
Zn1 0.500 0.500 0.500

## Properties
Formation energy (eV/atom): 0.009
Total energy (Ha/atom): -0.0801
ρ (Mg/m³): 3.0